# 1
Below is a PBEsol-optimized structure of ZnRuW, with properties calculated at the SCAN level.

Lattice parameters (Å, degrees): 2.813 3.684 4.675 113.20 107.51 90.00
Element x y z (fractional)
Zn1 0.336 0.336 0.671
Ru1 0.000 0.000 0.000
W1 0.664 0.664 0.329

The calculated density comes out at 13.8 g/cm3. Its formation energy is 0.08 eV per atom.

---

# 2
Below is a PBEsol-optimized structure of Rb3BaCo, with properties calculated at the SCAN level.

Lattice parameters (Å, degrees): 6.689 6.689 6.689 90.00 90.00 90.00
Element x y z (fractional)
Ba1 0.500 0.500 0.500
Co1 0.000 0.000 0.000
Rb1 0.500 0.000 0.000
Rb2 0.000 0.500 0.000
Rb3 0.000 0.000 0.500

The calculated density comes out at 2.5 g/cm3. Its formation energy is 0.60 eV per atom.

---

# 3
Below is a PBEsol-optimized structure of PaSnAu2, with properties calculated at the SCAN level.

Lattice parameters (Å, degrees): 4.916 4.916 4.916 60.00 60.00 60.00
Element x y z (fractional)
Au1 0.250 0.250 0.250
Au2 0.750 0.750 0.750
Pa1 0.000 0.000 0.000
Sn1 0.500 0.500 0.500

The calculated density comes out at 14.7 g/cm3. Its formation energy is -0.45 eV per atom.

---

# 4
Below is a PBEsol-optimized structure of BaTaOs2, with properties calculated at the SCAN level.

Lattice parameters (Å, degrees): 3.131 5.126 6.022 103.02 90.00 107.78
Element x y z (fractional)
Os1 0.252 0.504 0.768
Ba1 0.738 0.476 0.237
Os2 0.968 0.937 0.883
Ta1 0.542 0.083 0.611

The calculated density comes out at 13.0 g/cm3. Its formation energy is 0.60 eV per atom.

---

# 5
Below is a PBEsol-optimized structure of LaNb3Re, with properties calculated at the SCAN level.

Lattice parameters (Å, degrees): 4.740 4.740 4.740 90.00 90.00 90.00
Element x y z (fractional)
Nb1 0.000 0.500 0.000
Nb2 0.500 0.000 0.000
Nb3 0.000 0.000 0.500
Re1 0.500 0.500 0.500
La1 0.000 0.000 0.000

The calculated density comes out at 9.4 g/cm3. Its formation energy is 2.42 eV per atom.

---

# 6
Below is a PBEsol-optimized structure of TaNbH2, with properties calculated at the SCAN level.

Lattice parameters (Å, degrees): 4.858 4.851 4.858 59.95 90.00 120.05
Element x y z (fractional)
H1 0.122 0.750 0.875
H2 0.628 0.750 0.375
Nb1 0.500 0.000 0.500
Ta1 0.750 0.500 0.750
Nb2 0.250 0.500 0.250
Ta2 0.000 0.000 0.000
H3 0.875 0.250 0.628
H4 0.375 0.250 0.122

The calculated density comes out at 11.3 g/cm3. For the energy, the calculation gives -107.5 eV per formula unit.

---

# 7
Below is a PBEsol-optimized structure of Cu2SbW, with properties calculated at the SCAN level.

Lattice parameters (Å, degrees): 2.938 2.938 8.614 80.18 80.18 60.00
Element x y z (fractional)
Cu1 0.003 0.003 0.991
Cu2 0.742 0.742 0.774
W1 0.257 0.257 0.229
Sb1 0.498 0.498 0.506

The uncorrected formation energy is 640 meV/atom. The calculated density comes out at 11.4 g/cm3.

---

# 8
Below is a PBEsol-optimized structure of BeSbAs2, with properties calculated at the SCAN level.

Lattice parameters (Å, degrees): 3.360 3.424 7.051 104.05 103.78 90.00
Element x y z (fractional)
As1 0.844 0.344 0.688
As2 0.004 0.004 0.008
Sb1 0.184 0.684 0.367
Be1 0.468 0.468 0.937

The uncorrected formation energy is 289 meV/atom. The calculated density comes out at 6.1 g/cm3.

---

no.,V (A^3/atom)
1,14.02
2,59.84
3,21.01
4,22.35
5,21.30
6,10.10
7,15.78
8,19.08